# 1
A plane-wave DFT calculation with GGA-PBE was carried out for a relaxed SrCrPd crystal.

a b c (Å): 8.2279 3.2548 9.8399
angles (deg): 90.00 90.00 90.00
With the nearest neighbours (Å) after each atom.
Space group Pnma (No. 62)
Asymmetric unit:
1 Sr 0.0833 0.2500 0.1776 x4  5 Pd 3.05-3.19, 2 Sr 3.25
2 Cr 0.0750 0.2500 0.5348 x4  2 Cr 2.15
3 Pd 0.2394 0.2500 0.8934 x4  3 Cr 2.63-2.85

Summary:
The excess energy over the best structure of this formula in the dataset is 176 meV per atom. For the calculated formation energy, the calculation gives 16.9 kJ/mol of atoms. The magnetic moment comes out at 0.00 μB per cell.

***

# 2
A plane-wave DFT calculation with GGA-PBE was carried out for a relaxed ZnAg2Hg2 crystal.

a b c (Å): 3.9614 3.9614 14.4741
angles (deg): 90.00 90.00 90.00
With the nearest neighbours (Å) after each atom.
Space group I4/mmm (No. 139)
Asymmetric unit:
1 Zn 0.0000 0.0000 0.0000 x2  8 Ag 3.10
2 Ag 0.0000 0.0000 0.4078 x4  1 Ag 2.67
3 Hg 0.0000 0.5000 0.2500 x4  4 Hg 2.80, 4 Ag 3.02

Summary:
The excess energy over the best structure of this formula in the dataset is 156 meV per atom. For the calculated formation energy, the calculation gives 28.0 kJ/mol of atoms. The magnetic moment comes out at 0.00 μB per cell.

***

# 3
A plane-wave DFT calculation with GGA-PBE was carried out for a relaxed Na2Cd2NiH4 crystal.

a b c (Å): 5.9810 5.9810 7.8313
angles (deg): 90.00 90.00 90.00
With the nearest neighbours (Å) after each atom.
Space group I4/mmm (No. 139)
Asymmetric unit:
1 Na 0.0000 0.5000 0.2500 x4  8 H 2.94, 4 Cd 3.05
2 Cd 0.0000 0.0000 0.1751 x4  1 Ni 2.54, 1 Cd 2.74
3 Ni 0.0000 0.0000 0.5000 x2  4 H 1.56
4 H 0.1841 0.1841 0.5000 x8  1 Ni 1.56

Summary:
The calculation puts the uncorrected energy at -2.570 eV/atom. The magnetic moment comes out at 0.00 μB per cell.

***

# 4
A plane-wave DFT calculation with GGA-PBE was carried out for a relaxed Na2ZnCd5Au2 crystal.

a b c (Å): 10.9007 10.9007 3.8946
angles (deg): 90.00 90.00 90.00
With the nearest neighbours (Å) after each atom.
Space group P4/mbm (No. 127)
Asymmetric unit:
1 Na 0.1714 0.3286 0.0000 x4  3 Au 3.04-3.33, 2 Cd 3.28
2 Zn 0.0000 0.0000 0.0000 x2  8 Cd 2.93
3 Cd 0.0000 0.5000 0.5000 x2  4 Au 2.81
4 Cd 0.0640 0.8092 0.5000 x8  2 Au 2.84, 2 Zn 2.93, 2 Cd 3.10
5 Au 0.1314 0.6314 0.0000 x4  6 Cd 2.81-2.84, 1 Na 3.04

Summary:
For the calculated formation energy, the calculation gives -13.6 kJ/mol of atoms. The magnetic moment comes out at 0.00 μB per cell.

***

# 5
A plane-wave DFT calculation with GGA-PBE was carried out for a relaxed SrVAu crystal.

a b c (Å): 16.0691 4.8000 4.1821
angles (deg): 90.00 104.32 90.00
With the nearest neighbours (Å) after each atom.
Space group Cm (No. 8)
Asymmetric unit:
1 Sr 0.0000 0.0000 0.0000 x2  6 Au 3.25-3.33, 2 V 3.58
2 Sr 0.1713 0.5000 0.6436 x2  3 Au 3.19-3.40, 4 V 3.45
3 V 0.2725 0.0000 0.1968 x2  1 V 1.90
4 V 0.3296 0.0000 0.8504 x2  1 V 1.90
5 Au 0.3347 0.5000 0.3371 x2  2 V 2.61
6 Au 0.4566 0.0000 0.4619 x2  3 V 2.85-2.91, 2 Au 3.06

Summary:
The excess energy over the best structure of this formula in the dataset is 26 meV per atom. For the calculated formation energy, the calculation gives -0.4 kJ/mol of atoms. The magnetic moment comes out at 0.00 μB per cell.

***

# 6
A plane-wave DFT calculation with GGA-PBE was carried out for a relaxed VCr4Tc crystal.

a b c (Å): 6.7196 6.7196 6.7196
angles (deg): 90.00 90.00 90.00
With the nearest neighbours (Å) after each atom.
Space group F-43m (No. 216)
Asymmetric unit:
1 V 0.0000 0.0000 0.0000 x4  12 Cr 2.78, 4 Tc 2.91
2 Cr 0.1256 0.1256 0.6256 x16  6 Cr 2.37-2.39
3 Tc 0.2500 0.2500 0.2500 x4  12 Cr 2.79, 4 V 2.91

Summary:
The excess energy over the best structure of this formula in the dataset is 96 meV per atom. For the calculated formation energy, the calculation gives 5.5 kJ/mol of atoms. The magnetic moment comes out at 2.04 μB per cell.

***

Which formula does entry 2 have?
ZnAg2Hg2

***

Which value of magnetic moment does entry 3 give?
0.00 μB per cell